(1)
Entry from Alexandria via LeMat-Bulk: crystalline Ho4Tl2O at its relaxed geometry (PBE).

Computed properties:
* spin magnetization: 0.00 Bohr magnetons per cell

a = 4.614 Å, b = 4.614 Å, c = 16.375 Å
α = 90.00°, β = 90.00°, γ = 90.00°
Space group I4/mmm (No. 139)
Unique sites:
Ho  0.000  0.000  0.171
Ho  0.000  0.500  0.000
Tl  0.000  0.000  0.360
O  0.000  0.000  0.000

---

(2)
Entry from Alexandria via LeMat-Bulk: crystalline Ho4Tl2O at its relaxed geometry (PBE).

Computed properties:
* spin magnetization: 0.00 Bohr magnetons per cell

a = 6.387 Å, b = 6.823 Å, c = 8.982 Å
α = 90.00°, β = 110.34°, γ = 90.00°
Space group P2_1/m (No. 11)
Unique sites:
Ho  0.036  0.002  0.278
Ho  0.367  0.750  0.052
Ho  0.422  0.750  0.649
Tl  0.196  0.250  0.026
Tl  0.311  0.250  0.588
O  0.202  0.750  0.792

---

Which structure above is the least stable? It is (1).